Record 1
VASP calculation (PBE) on a relaxed Np2PaPdS5 crystal.

Cell lengths 8.2946, 8.2946, 11.9368 Å; angles 90.00, 90.00, 153.38 degrees
Last column: nearest neighbours and their distance in Å.
Fractional positions:
Np1 0.1089 0.8911 0.5000  8 S 2.84-3.11
Np2 0.1182 0.8818 0.8457  8 S 2.83-3.01
Np3 0.8818 0.1182 0.3457  8 S 2.83-3.01
Np4 0.8911 0.1089 0.0000  8 S 2.84-3.11
Pa1 0.1827 0.8173 0.1723  6 S 2.66-2.77
Pa2 0.8173 0.1827 0.6723  6 S 2.66-2.77
Pd1 0.4428 0.5572 0.5678  4 S 2.35-2.41
Pd2 0.5572 0.4428 0.0678  4 S 2.35-2.41
S1 0.0134 0.9866 0.1757  2 Pd 2.41
S2 0.3015 0.6985 0.5051  1 Pd 2.40
S3 0.3046 0.6954 0.8352  2 Pa 2.73, 1 Np 3.01
S4 0.3477 0.6523 0.1704  1 Pa 2.66, 4 Np 2.88-2.89
S5 0.4935 0.5065 0.8911  1 Pd 2.35
S6 0.5065 0.4935 0.3911  1 Pd 2.35
S7 0.6523 0.3477 0.6704  1 Pa 2.66, 4 Np 2.88-2.89
S8 0.6954 0.3046 0.3352  2 Pa 2.73, 1 Np 3.01
S9 0.6985 0.3015 0.0051  1 Pd 2.40
S10 0.9866 0.0134 0.6757  2 Pd 2.41

- crystal system = orthorhombic
- energy relative to the elements, uncorrected (eV/atom) = -1.263



Record 2
VASP calculation (PBE) on a relaxed NpPaPdS4 crystal.

Cell lengths 6.4170, 6.3318, 7.4520 Å; angles 90.00, 106.10, 90.00 degrees
Last column: nearest neighbours and their distance in Å.
Fractional positions:
Np1 0.2132 0.2500 0.0501  6 S 2.66-2.83
Np2 0.7868 0.7500 0.9499  6 S 2.66-2.83
Pa1 0.2279 0.2500 0.5550  6 S 2.66-2.84
Pa2 0.7721 0.7500 0.4450  6 S 2.66-2.84
Pd1 0.2406 0.7500 0.3206  4 S 2.36-2.40
Pd2 0.7594 0.2500 0.6794  4 S 2.36-2.40
S1 0.0304 0.5177 0.7536  1 Pd 2.38
S2 0.0304 0.9823 0.7536  1 Pd 2.38
S3 0.4694 0.7500 0.6289  1 Pd 2.36
S4 0.4709 0.7500 0.1167  1 Pd 2.40, 1 Np 2.66, 1 Pa 2.66
S5 0.5291 0.2500 0.8833  1 Pd 2.40, 1 Np 2.66, 1 Pa 2.66
S6 0.5306 0.2500 0.3711  1 Pd 2.36
S7 0.9696 0.0177 0.2464  1 Pd 2.38
S8 0.9696 0.4823 0.2464  1 Pd 2.38

- crystal system = monoclinic
- energy relative to the elements, uncorrected (eV/atom) = -1.188



Record 3
VASP calculation (PBE) on a relaxed NpPaTcPd crystal.

Cell lengths 4.8705, 4.8705, 4.8705 Å; angles 60.00, 60.00, 60.00 degrees
Last column: nearest neighbours and their distance in Å.
Fractional positions:
Np1 0.0000 0.0000 0.0000  4 Tc 2.98, 4 Pd 2.98
Pa1 0.5000 0.5000 0.5000  4 Pd 2.98, 4 Tc 2.98
Tc1 0.2500 0.2500 0.2500  4 Pa 2.98, 4 Np 2.98
Pd1 0.7500 0.7500 0.7500  4 Pa 2.98, 4 Np 2.98

- crystal system = cubic
- energy relative to the elements (meV per atom) = -68



Record 4
VASP calculation (PBE) on a relaxed PrNpPa crystal.

Cell lengths 6.9855, 6.1982, 8.3454 Å; angles 90.00, 112.00, 90.00 degrees
Last column: nearest neighbours and their distance in Å.
Fractional positions:
Pr1 0.0431 0.2419 0.4276  3 Np 3.37-3.67, 2 Pr 3.37-3.55, 2 Pa 3.48-3.56
Pr2 0.0431 0.2581 0.9276  3 Np 3.37-3.67, 2 Pr 3.37-3.55, 2 Pa 3.48-3.56
Pr3 0.9569 0.7419 0.0724  3 Np 3.37-3.67, 2 Pr 3.37-3.55, 2 Pa 3.48-3.56
Pr4 0.9569 0.7581 0.5724  3 Np 3.37-3.67, 2 Pr 3.37-3.55, 2 Pa 3.48-3.56
Np1 0.3793 0.6338 0.4266  1 Np 2.36
Np2 0.3793 0.8662 0.9266  1 Np 2.36
Np3 0.6207 0.1338 0.0734  1 Np 2.36
Np4 0.6207 0.3662 0.5734  1 Np 2.36
Pa1 0.4541 0.0939 0.3113  2 Np 2.66
Pa2 0.4541 0.4061 0.8113  2 Np 2.66
Pa3 0.5459 0.5939 0.1887  2 Np 2.66
Pa4 0.5459 0.9061 0.6887  2 Np 2.66

- crystal system = monoclinic
- energy relative to the elements (meV per atom) = 289



Record 5
VASP calculation (PBE) on a relaxed Pr2NpPaSb4 crystal.

Cell lengths 7.7010, 4.4585, 7.7956 Å; angles 90.00, 109.33, 90.00 degrees
Last column: nearest neighbours and their distance in Å.
Fractional positions:
Pr1 0.0000 0.0000 0.0000  6 Sb 3.22
Pr2 0.5000 0.5000 0.0000  6 Sb 3.20
Np1 0.0000 0.5000 0.5000  6 Sb 3.12-3.13
Pa1 0.5000 0.0000 0.5000  6 Sb 3.10-3.11
Sb1 0.2481 0.0000 0.7385  1 Pa 3.10, 2 Np 3.12, 3 Pr 3.20-3.22
Sb2 0.2559 0.5000 0.2615  2 Pa 3.11, 1 Np 3.13, 3 Pr 3.20-3.22
Sb3 0.7441 0.5000 0.7385  2 Pa 3.11, 1 Np 3.13, 3 Pr 3.20-3.22
Sb4 0.7519 0.0000 0.2615  1 Pa 3.10, 2 Np 3.12, 3 Pr 3.20-3.22

- crystal system = monoclinic
- energy relative to the elements, uncorrected (eV/atom) = -0.760



Record 6
VASP calculation (PBE) on a relaxed NpPa2Pt crystal.

Cell lengths 4.9643, 4.9643, 4.9643 Å; angles 60.00, 60.00, 60.00 degrees
Last column: nearest neighbours and their distance in Å.
Fractional positions:
Np1 0.0000 0.0000 0.0000  8 Pa 3.04
Pa1 0.2500 0.2500 0.2500  4 Np 3.04, 4 Pt 3.04
Pa2 0.7500 0.7500 0.7500  4 Pt 3.04, 4 Np 3.04
Pt1 0.5000 0.5000 0.5000  8 Pa 3.04

- crystal system = cubic
- energy relative to the elements (meV per atom) = -249
- energy above the lowest structure with this stoichiometry (meV/atom) = 113



Record 7
VASP calculation (PBE) on a relaxed NpPa2Pt crystal.

Cell lengths 3.5621, 3.5621, 6.7778 Å; angles 90.00, 90.00, 90.00 degrees
Last column: nearest neighbours and their distance in Å.
Fractional positions:
Np1 0.0000 0.0000 0.0000  8 Pa 3.01
Pa1 0.5000 0.5000 0.2443  4 Np 3.01, 4 Pt 3.06, 1 Pa 3.31
Pa2 0.5000 0.5000 0.7557  4 Np 3.01, 4 Pt 3.06, 1 Pa 3.31
Pt1 0.0000 0.0000 0.5000  8 Pa 3.06, 2 Np 3.39

- crystal system = tetragonal
- energy relative to the elements (meV per atom) = -234
- energy above the lowest structure with this stoichiometry (meV/atom) = 127



Record 8
VASP calculation (PBE) on a relaxed NpPaPt4 crystal.

Cell lengths 5.4422, 5.4422, 5.4422 Å; angles 60.00, 60.00, 60.00 degrees
Last column: nearest neighbours and their distance in Å.
Fractional positions:
Np1 0.0000 0.0000 0.0000  12 Pt 3.19, 4 Pa 3.33
Pa1 0.7500 0.7500 0.7500  12 Pt 3.19, 4 Np 3.33
Pt1 0.3749 0.3749 0.3749  6 Pt 2.72
Pt2 0.3749 0.3749 0.8752  6 Pt 2.72
Pt3 0.3749 0.8752 0.3749  6 Pt 2.72
Pt4 0.8752 0.3749 0.3749  6 Pt 2.72

- crystal system = cubic
- energy relative to the elements (meV per atom) = -747



Record 9
VASP calculation (PBE) on a relaxed NpPaPt2 crystal.

Cell lengths 4.9547, 4.9547, 4.9547 Å; angles 60.00, 60.00, 60.00 degrees
Last column: nearest neighbours and their distance in Å.
Fractional positions:
Np1 0.0000 0.0000 0.0000  8 Pt 3.03
Pa1 0.5000 0.5000 0.5000  8 Pt 3.03
Pt1 0.2500 0.2500 0.2500  4 Pa 3.03, 4 Np 3.03
Pt2 0.7500 0.7500 0.7500  4 Pa 3.03, 4 Np 3.03

- crystal system = cubic
- energy relative to the elements (meV per atom) = -590
- energy above the lowest structure with this stoichiometry (meV/atom) = 45



Record 10
VASP calculation (PBE) on a relaxed NpPa2Pt9 crystal.

Cell lengths 4.1828, 4.1828, 12.4946 Å; angles 90.00, 90.00, 90.00 degrees
Last column: nearest neighbours and their distance in Å.
Fractional positions:
Np1 0.0000 0.0000 0.0000  12 Pt 2.96-2.99
Pa1 0.0000 0.0000 0.3318  12 Pt 2.90-2.96
Pa2 0.0000 0.0000 0.6682  12 Pt 2.90-2.96
Pt1 0.0000 0.5000 0.1706  2 Pa 2.90, 8 Pt 2.93-2.99, 2 Np 2.99
Pt2 0.0000 0.5000 0.5000  8 Pt 2.94-2.96, 4 Pa 2.96
Pt3 0.0000 0.5000 0.8294  2 Pa 2.90, 8 Pt 2.93-2.99, 2 Np 2.99
Pt4 0.5000 0.0000 0.1706  2 Pa 2.90, 8 Pt 2.93-2.99, 2 Np 2.99
Pt5 0.5000 0.0000 0.5000  8 Pt 2.94-2.96, 4 Pa 2.96
Pt6 0.5000 0.0000 0.8294  2 Pa 2.90, 8 Pt 2.93-2.99, 2 Np 2.99
Pt7 0.5000 0.5000 0.0000  4 Np 2.96, 8 Pt 2.99
Pt8 0.5000 0.5000 0.3344  8 Pt 2.93-2.94, 4 Pa 2.96
Pt9 0.5000 0.5000 0.6656  8 Pt 2.93-2.94, 4 Pa 2.96

- crystal system = tetragonal
- energy relative to the elements (meV per atom) = -830



Record 11
VASP calculation (PBE) on a relaxed NpPa2Pt crystal.

Cell lengths 5.1918, 5.1918, 3.1755 Å; angles 90.00, 90.00, 90.00 degrees
Last column: nearest neighbours and their distance in Å.
Fractional positions:
Np1 0.0000 0.0000 0.0000  8 Pa 3.04, 2 Np 3.18
Pa1 0.0000 0.5000 0.5000  4 Np 3.04, 4 Pt 3.04, 2 Pa 3.18
Pa2 0.5000 0.0000 0.5000  4 Np 3.04, 4 Pt 3.04, 2 Pa 3.18
Pt1 0.5000 0.5000 0.0000  8 Pa 3.04, 2 Pt 3.18

- crystal system = tetragonal
- energy relative to the elements (meV per atom) = -361
- energy above the lowest structure with this stoichiometry (meV/atom) = 0



Record 12
VASP calculation (PBE) on a relaxed NpPaPt2 crystal.

Cell lengths 3.5458, 3.5458, 6.8827 Å; angles 90.00, 90.00, 90.00 degrees
Last column: nearest neighbours and their distance in Å.
Fractional positions:
Np1 0.0000 0.0000 0.0000  8 Pt 3.08, 2 Pa 3.44
Pa1 0.0000 0.0000 0.5000  8 Pt 3.00
Pt1 0.5000 0.5000 0.2608  4 Pa 3.00, 4 Np 3.08, 1 Pt 3.29
Pt2 0.5000 0.5000 0.7392  4 Pa 3.00, 4 Np 3.08, 1 Pt 3.29

- crystal system = tetragonal
- energy relative to the elements (meV per atom) = -597
- energy above the lowest structure with this stoichiometry (meV/atom) = 38